No. 1
Compound: TbTh2Ir
Source: Alexandria
Functional: PBE
Structure: optimized geometry

Cell and atoms, written as extended XYZ:
```
4
Lattice="-1.433 1.261 3.384 -3.751 0.975 0.279 -4.049 -8.937 3.844" Properties=species:S:1:pos:R:3 pbc="T T T"
Ir -4.616 -3.351 3.754
Th -3.275 -5.708 2.970
Th -5.958 -0.993 4.538
Tb 0.000 0.000 0.000
```

Calculated density: 10057 kg/m3
Total DFT energy (no corrections): -28.8 eV per formula unit
Space group: No. 166
Excess energy over the best structure of this formula in the dataset: 396 meV/atom
Formation energy: -111 meV per atom

=====

No. 2
Compound: Tb3ThIr8
Source: Alexandria
Functional: PBE
Structure: optimized geometry

Cell and atoms, written as extended XYZ:
```
12
Lattice="-3.745 3.675 1.287 1.339 -3.848 3.548 6.237 5.203 3.290" Properties=species:S:1:pos:R:3 pbc="T T T"
Ir 1.378 0.637 2.190
Ir 2.059 -1.323 3.996
Ir 1.631 5.648 5.512
Ir -0.352 -1.338 2.796
Ir 3.466 3.847 4.881
Ir 2.756 1.255 4.435
Ir 0.153 0.549 4.652
Ir 2.810 5.733 3.143
Tb -1.644 1.506 2.255
Tb 5.851 4.881 3.087
Tb 0.609 3.386 3.443
Th 3.559 2.969 1.878
```

Calculated density: 16841 kg/m3
Total DFT energy (no corrections): -101.6 eV per formula unit
Space group: No. 156
Formation energy: -786 meV per atom

=====

No. 3
Compound: TbTh3Ir8
Source: Alexandria
Functional: PBE
Structure: optimized geometry

Cell and atoms, written as extended XYZ:
```
12
Lattice="5.203 0.000 1.571 2.364 4.635 1.571 -0.004 -0.003 9.418" Properties=species:S:1:pos:R:3 pbc="T T T"
Ir 7.093 4.344 9.414
Ir 5.198 3.184 10.989
Ir 5.911 2.027 8.629
Ir 3.302 2.023 3.145
Ir 5.915 2.023 3.934
Ir 4.491 4.344 8.629
Ir 1.419 0.869 4.702
Ir 4.490 4.350 3.934
Th 3.795 2.325 6.233
Th 7.553 4.626 3.189
Th 2.842 1.741 9.391
Tb 6.612 4.049 6.307
```

Calculated density: 17493 kg/m3
Total DFT energy (no corrections): -107.5 eV per formula unit
Space group: No. 160
Formation energy: -811 meV per atom